Density functional theory data (GGA+U) for crystalline VSCl2O at its relaxed geometry.

Lattice parameters (Å, degrees): 4.7468 4.7468 4.6052 90.00 90.00 90.00
Positions (direct):
V: 0.0000 0.0000 0.0000
S: 0.0000 0.0000 0.5000
Cl: 0.0000 0.5000 0.0000
Cl: 0.5000 0.0000 0.0000
O: 0.5000 0.5000 0.5000

The value obtained for the offset from the most stable computed form is 0.000 eV per atom. As for the crystal system: tetragonal. The density of states at the Fermi level comes out at 9.6 states/eV/f.u. The value obtained for the volume is 20.8 Å³/atom. For the total energy, the calculation gives -18.09 eV for the cell shown.


Density functional theory data (GGA+U) for crystalline VS2ClO at its relaxed geometry.

Lattice parameters (Å, degrees): 3.8837 3.8837 5.6734 90.00 90.00 90.00
Positions (direct):
V: 0.0000 0.0000 0.0000
S: 0.0000 0.5000 0.5000
S: 0.5000 0.0000 0.5000
Cl: 0.5000 0.5000 0.0000
O: 0.5000 0.5000 0.5000

The value obtained for the offset from the most stable computed form is 0.000 eV per atom. As for the crystal system: tetragonal. The density of states at the Fermi level comes out at 4.4 states/eV/f.u. The value obtained for the volume is 17.1 Å³/atom. For the total energy, the calculation gives -20.41 eV for the cell shown.


Density functional theory data (GGA+U) for crystalline VSCl2O at its relaxed geometry.

Lattice parameters (Å, degrees): 4.4626 4.4626 4.3382 90.00 90.00 90.00
Positions (direct):
V: 0.0000 0.0000 0.0000
S: 0.5000 0.5000 0.0000
Cl: 0.0000 0.5000 0.5000
Cl: 0.5000 0.0000 0.5000
O: 0.5000 0.5000 0.5000

The value obtained for the offset from the most stable computed form is 0.297 eV per atom. As for the crystal system: tetragonal. The density of states at the Fermi level comes out at 3.5 states/eV/f.u. The value obtained for the volume is 17.3 Å³/atom. For the total energy, the calculation gives -16.60 eV for the cell shown.


Density functional theory data (GGA+U) for crystalline VS2ClO at its relaxed geometry.

Lattice parameters (Å, degrees): 4.5137 4.5137 4.7981 90.00 90.00 90.00
Positions (direct):
V: 0.0000 0.0000 0.0000
S: 0.0000 0.5000 0.0000
S: 0.5000 0.0000 0.0000
Cl: 0.0000 0.0000 0.5000
O: 0.5000 0.5000 0.5000

The value obtained for the offset from the most stable computed form is 0.163 eV per atom. As for the crystal system: tetragonal. The density of states at the Fermi level comes out at 7.0 states/eV/f.u. The value obtained for the volume is 19.6 Å³/atom. For the total energy, the calculation gives -19.60 eV for the cell shown.


Density functional theory data (GGA+U) for crystalline WS2ClO8 at its relaxed geometry.

Lattice parameters (Å, degrees): 5.0275 5.0275 9.5851 107.48 107.48 63.69
Positions (direct):
W: 0.0000 0.0000 0.0000
S: 0.4250 0.4250 0.1809
S: 0.5750 0.5750 0.8191
Cl: 0.0000 0.0000 0.5000
O: 0.2511 0.7018 0.8430
O: 0.2611 0.2611 0.0522
O: 0.2982 0.7489 0.1570
O: 0.4138 0.4138 0.3253
O: 0.5862 0.5862 0.6747
O: 0.7018 0.2511 0.8430
O: 0.7389 0.7389 0.9478
O: 0.7489 0.2982 0.1570

As for the crystal system: monoclinic. The value obtained for the volume is 16.9 Å³/atom. For the total energy, the calculation gives -71.42 eV for the cell shown.


Density functional theory data (GGA+U) for crystalline WS2ClO at its relaxed geometry.

Lattice parameters (Å, degrees): 3.9370 3.9370 5.7463 90.00 90.00 90.00
Positions (direct):
W: 0.0000 0.0000 0.0000
S: 0.0000 0.5000 0.5000
S: 0.5000 0.0000 0.5000
Cl: 0.5000 0.5000 0.0000
O: 0.5000 0.5000 0.5000

The value obtained for the offset from the most stable computed form is 0.000 eV per atom. As for the crystal system: tetragonal. The density of states at the Fermi level comes out at 1.2 states/eV/f.u. The value obtained for the volume is 17.8 Å³/atom. For the total energy, the calculation gives -18.88 eV for the cell shown.


Density functional theory data (GGA+U) for crystalline WS2ClO at its relaxed geometry.

Lattice parameters (Å, degrees): 4.6640 4.6640 4.8388 90.00 90.00 90.00
Positions (direct):
W: 0.0000 0.0000 0.0000
S: 0.0000 0.5000 0.0000
S: 0.5000 0.0000 0.0000
Cl: 0.0000 0.0000 0.5000
O: 0.5000 0.5000 0.5000

The value obtained for the offset from the most stable computed form is 0.010 eV per atom. As for the crystal system: tetragonal. The density of states at the Fermi level comes out at 8.2 states/eV/f.u. The value obtained for the volume is 21.1 Å³/atom. For the total energy, the calculation gives -18.83 eV for the cell shown.


Please write out number 2 again, unchanged.
Density functional theory data (GGA+U) for crystalline VS2ClO at its relaxed geometry.

Lattice parameters (Å, degrees): 3.8837 3.8837 5.6734 90.00 90.00 90.00
Positions (direct):
V: 0.0000 0.0000 0.0000
S: 0.0000 0.5000 0.5000
S: 0.5000 0.0000 0.5000
Cl: 0.5000 0.5000 0.0000
O: 0.5000 0.5000 0.5000

The value obtained for the offset from the most stable computed form is 0.000 eV per atom. As for the crystal system: tetragonal. The density of states at the Fermi level comes out at 4.4 states/eV/f.u. The value obtained for the volume is 17.1 Å³/atom. For the total energy, the calculation gives -20.41 eV for the cell shown.


> Which formula does entry 4 have?

VS2ClO


> Among the records above, which one has the lowest total energy?

WS2ClO8


> The highest total energy belongs to which entry?

number 3